# 1
## InSiIr2 (PBE)

Data for a relaxed structure of InSiIr2.

a = 8.4873 Å, b = 8.4873 Å, c = 8.4873 Å
α = 20.03°, β = 20.03°, γ = 20.03°
Fractional positions:
In1 0.7500 0.7500 0.7500
Ir1 0.9882 0.9882 0.9882
Ir2 0.5118 0.5118 0.5118
Si1 0.2500 0.2500 0.2500

## Properties
Symmetry: No. 166
Crystal system: trigonal

***

# 2
## InSi2Ir (PBE)

Data for a relaxed structure of InSi2Ir.

a = 3.0258 Å, b = 4.5480 Å, c = 4.8948 Å
α = 90.00°, β = 90.00°, γ = 90.00°
Fractional positions:
In1 0.5000 0.0000 0.5000
Ir1 0.0000 0.5000 0.5000
Si1 0.0000 0.0000 0.0000
Si2 0.5000 0.5000 0.0000

## Properties
Symmetry: No. 47
Crystal system: orthorhombic

***

# 3
## InSiIr2 (PBE)

Data for a relaxed structure of InSiIr2.

a = 3.7898 Å, b = 3.7898 Å, c = 7.2576 Å
α = 72.88°, β = 72.88°, γ = 45.60°
Fractional positions:
In1 0.2500 0.2500 0.2500
Ir1 0.9751 0.9751 0.9311
Ir2 0.5249 0.5249 0.5689
Si1 0.7500 0.7500 0.7500

## Properties
Symmetry: No. 12
Crystal system: monoclinic

***

# 4
## In4SiIr (PBE)

Data for a relaxed structure of In4SiIr.

a = 5.7843 Å, b = 5.7843 Å, c = 5.7843 Å
α = 60.00°, β = 60.00°, γ = 60.00°
Fractional positions:
In1 0.8747 0.3751 0.3751
In2 0.3751 0.3751 0.8747
In3 0.3751 0.8747 0.3751
In4 0.3751 0.3751 0.3751
Si1 0.0000 0.0000 0.0000
Ir1 0.7500 0.7500 0.7500

## Properties
Symmetry: No. 216
Crystal system: cubic

***

# 5
## InSiIr2 (PBE)

Data for a relaxed structure of InSiIr2.

a = 2.9256 Å, b = 2.9256 Å, c = 7.1432 Å
α = 90.00°, β = 90.00°, γ = 90.00°
Fractional positions:
In1 0.5000 0.5000 0.5000
Ir1 0.0000 0.0000 0.7966
Ir2 0.0000 0.0000 0.2034
Si1 0.5000 0.5000 0.0000

## Properties
Symmetry: No. 123
Crystal system: tetragonal

***

# 6
## InSiIr (PBE)

Data for a relaxed structure of InSiIr.

a = 4.3147 Å, b = 4.3147 Å, c = 4.3147 Å
α = 60.00°, β = 60.00°, γ = 60.00°
Fractional positions:
In1 0.5000 0.5000 0.5000
Ir1 0.7500 0.7500 0.7500
Si1 0.0000 0.0000 0.0000

## Properties
Symmetry: No. 216
Crystal system: cubic

***

# 7
## InSiIr2 (PBE)

Data for a relaxed structure of InSiIr2.

a = 8.5856 Å, b = 8.5856 Å, c = 8.5856 Å
α = 20.09°, β = 20.09°, γ = 20.09°
Fractional positions:
In1 0.7498 0.7498 0.7498
Ir1 0.9982 0.9982 0.9982
Ir2 0.2424 0.2424 0.2424
Si1 0.5096 0.5096 0.5096

## Properties
Symmetry: No. 160
Crystal system: trigonal

***

# 8
## In2SiIr (PBE)

Data for a relaxed structure of In2SiIr.

a = 3.6747 Å, b = 3.6747 Å, c = 5.4746 Å
α = 90.00°, β = 90.00°, γ = 90.00°
Fractional positions:
In1 0.0000 0.0000 0.0029
In2 0.0000 0.0000 0.4971
Ir1 0.5000 0.5000 0.2500
Si1 0.5000 0.5000 0.7500

## Properties
Symmetry: No. 123
Crystal system: tetragonal

***

# 9
## InSi2Ir (PBE)

Data for a relaxed structure of InSi2Ir.

a = 2.8685 Å, b = 3.2072 Å, c = 7.5759 Å
α = 90.00°, β = 90.00°, γ = 90.00°
Fractional positions:
In1 0.5000 0.5000 0.2500
Ir1 0.5000 0.5000 0.7500
Si1 0.0000 0.0000 0.9416
Si2 0.0000 0.0000 0.5584

## Properties
Symmetry: No. 47
Crystal system: orthorhombic

***

# 10
## In2SiIr (PBE)

Data for a relaxed structure of In2SiIr.

a = 9.5053 Å, b = 9.5053 Å, c = 7.0910 Å
α = 47.91°, β = 47.91°, γ = 90.00°
Fractional positions:
Si1 0.5000 0.5000 0.0000
Si2 0.2500 0.7500 0.5000
Ir1 0.0000 0.0000 0.0000
Ir2 0.7500 0.2500 0.5000
In1 0.7543 0.1250 0.2500
In2 0.9957 0.6250 0.2500
In3 0.3750 0.2457 0.7500
In4 0.8750 0.0043 0.7500

## Properties
Symmetry: No. 122
Crystal system: tetragonal

***

# 11
## InSi2Ir (PBE)

Data for a relaxed structure of InSi2Ir.

a = 2.9734 Å, b = 2.9734 Å, c = 7.5827 Å
α = 90.00°, β = 90.00°, γ = 90.00°
Fractional positions:
In1 0.0000 0.0000 0.5179
Ir1 0.5000 0.5000 0.8063
Si1 0.0000 0.0000 0.9802
Si2 0.5000 0.5000 0.1956

## Properties
Symmetry: No. 99
Crystal system: tetragonal

***

# 12
## InSi2Ir (PBE)

Data for a relaxed structure of InSi2Ir.

a = 4.7851 Å, b = 4.7851 Å, c = 4.7851 Å
α = 128.30°, β = 128.30°, γ = 76.14°
Fractional positions:
In1 0.5000 0.5000 0.0000
Ir1 0.7500 0.2500 0.5000
Si1 0.0000 0.0000 0.0000
Si2 0.2500 0.7500 0.5000

## Properties
Symmetry: No. 119
Crystal system: tetragonal

***

Uncorrected formation energy
In order: -22.5; 41.0; -22.3; 81.3; -35.5; -10.8; 12.7; 27.7; 1.2; 3.5; 4.3; 34.9
Unit: kJ/mol of atoms
Uncorrected energy
In order: -6.704; -5.187; -6.701; -3.364; -6.839; -5.786; -6.339; -4.653; -5.599; -4.904; -5.567; -5.250
Unit: eV/atom
M_tot
In order: 0.00; 0.00; 0.00; 0.00; 0.00; 0.00; 0.00; 0.00; 0.00; 0.00; 0.00; 0.00
Unit: μB/cell